No. 1
Computed, not measured: NaYIn4 after structural relaxation at the GGA-PBE level of DFT.

Results
**Calculated volume**: 26.03 Å³ per atom
**Mass density**: 6.07 Mg/m³
**DFT formation energy**: -0.25 eV per atom
**Uncorrected energy**: -20.2 eV per formula unit
**Relative energy among the computed polymorphs**: 0.000 eV/atom

abc: 3.4566 5.0537 8.9417
angles: 90.00 90.08 90.00
Last column: nearest neighbours and their distance in Å.
Sites, in units of the cell vectors:
In1 0.9938 0.0000 0.3365  3 In 2.92-2.95
Na1 0.5000 0.0000 0.0000  12 In 3.40-3.48, 2 Na 3.46
In2 0.0062 0.0000 0.6635  3 In 2.92-2.95
In3 0.9969 0.5000 0.8333  3 In 2.95-2.98
In4 0.0031 0.5000 0.1667  3 In 2.95-2.98
Y1 0.5000 0.5000 0.5000  12 In 3.38-3.45, 2 Y 3.46

No. 2
Computed, not measured: NaYZrIn2 after structural relaxation at the GGA-PBE level of DFT.

Results
**Calculated volume**: 27.60 Å³ per atom
**Mass density**: 5.21 Mg/m³
**DFT formation energy**: 0.67 eV per atom
**Uncorrected energy**: -18.5 eV per formula unit

abc: 5.1448 5.2130 5.1448
angles: 90.00 90.00 90.00
Last column: nearest neighbours and their distance in Å.
Sites, in units of the cell vectors:
Zr1 0.0000 0.5000 0.0000  2 Na 2.61
Y1 0.5000 0.5000 0.5000  4 Zr 3.64, 8 In 3.66
In1 0.5000 0.0000 0.0000  2 Na 2.57
Na1 0.0000 0.0000 0.0000  4 In 2.57, 2 Zr 2.61
In2 0.0000 0.0000 0.5000  2 Na 2.57

No. 3
Computed, not measured: Na2ZnIn12 after structural relaxation at the GGA-PBE level of DFT.

Results
**Calculated volume**: 28.43 Å³ per atom
**Mass density**: 5.80 Mg/m³
**DFT formation energy**: -0.01 eV per atom
**Uncorrected energy**: -36.9 eV per formula unit

abc: 6.9292 6.9292 17.7669
angles: 90.00 90.00 90.00
Last column: nearest neighbours and their distance in Å.
Sites, in units of the cell vectors:
In1 0.1624 0.6624 0.5692  6 In 3.00-3.33
In2 0.6624 0.8376 0.5692  6 In 3.00-3.33
In3 0.3376 0.8376 0.4308  6 In 3.00-3.33
In4 0.8376 0.6624 0.4308  6 In 3.00-3.33
Na1 0.5000 0.0000 0.7469  14 In 3.53-3.84
In5 0.5000 0.5000 0.1840  5 In 2.85-3.00
In6 0.1624 0.3376 0.4308  6 In 3.00-3.33
In7 0.2501 0.2499 0.0868  2 Zn 2.89-2.90, 3 In 3.00-3.08
In8 0.7499 0.7501 0.0868  2 Zn 2.89-2.90, 3 In 3.00-3.08
In9 0.3376 0.1624 0.5692  6 In 3.00-3.33
In10 0.5000 0.5000 0.3441  5 In 2.85-3.02
Na2 0.0000 0.5000 0.2531  14 In 3.53-3.84
In11 0.6624 0.1624 0.4308  6 In 3.00-3.33
In12 0.0000 0.0000 0.3441  5 In 2.85-3.02
Na3 0.0000 0.5000 0.7469  14 In 3.53-3.84
In13 0.2499 0.7499 0.0868  2 Zn 2.89-2.90, 3 In 3.00-3.08
Na4 0.5000 0.0000 0.2531  14 In 3.53-3.84
In14 0.7501 0.7499 0.9132  2 Zn 2.89-2.90, 3 In 3.00-3.08
In15 0.0000 0.0000 0.8160  5 In 2.85-3.00
In16 0.0000 0.0000 0.6559  5 In 2.85-3.02
In17 0.2501 0.7501 0.9132  2 Zn 2.89-2.90, 3 In 3.00-3.08
In18 0.7501 0.2501 0.0868  2 Zn 2.89-2.90, 3 In 3.00-3.08
Zn1 0.5000 0.0000 0.0000  8 In 2.89-2.90
In19 0.0000 0.0000 0.1840  5 In 2.85-3.00
In20 0.5000 0.5000 0.8160  5 In 2.85-3.00
In21 0.7499 0.2499 0.9132  2 Zn 2.89-2.90, 3 In 3.00-3.08
In22 0.5000 0.5000 0.6559  5 In 2.85-3.02
In23 0.8376 0.3376 0.5692  6 In 3.00-3.33
Zn2 0.0000 0.5000 0.0000  8 In 2.89-2.90
In24 0.2499 0.2501 0.9132  2 Zn 2.89-2.90, 3 In 3.00-3.08